Record 1
DFT (PBE-GGA) results for a relaxed Na3BiO crystal.

Values from the calculation:
SG: Pm-3m
energy above the most stable polymorph in this dataset: 171 meV per atom

abc: 4.766 4.766 4.766
angles: 90.00 90.00 90.00
Fractional positions:
O (0.000, 0.000, 0.000)
Bi (0.500, 0.500, 0.500)
Na (0.000, 0.000, 0.500)
Na (0.000, 0.500, 0.000)
Na (0.500, 0.000, 0.000)

---

Record 2
DFT (PBE-GGA) results for a relaxed Na3BiO crystal.

Values from the calculation:
SG: P-1
energy above the most stable polymorph in this dataset: 0 meV per atom

abc: 5.968 5.981 8.755
angles: 89.85 69.71 60.13
Fractional positions:
Na (0.596, 0.041, 0.899)
Bi (0.402, 0.753, 0.206)
Na (0.830, 0.156, 0.581)
Na (0.226, 0.641, 0.899)
Na (0.995, 0.271, 0.899)
O (0.038, 0.935, 0.752)
Na (0.432, 0.925, 0.581)
O (0.388, 0.261, 0.727)
Na (0.200, 0.555, 0.581)
Bi (0.025, 0.443, 0.273)

---

Record 3
DFT (PBE-GGA) results for a relaxed Na4BiO4 crystal.

Values from the calculation:
SG: C2/m

abc: 3.503 6.037 7.379
angles: 76.02 76.27 73.14
Fractional positions:
O (0.925, 0.259, 0.892)
Na (0.866, 0.874, 0.393)
Na (0.134, 0.126, 0.607)
Bi (0.500, 0.000, 0.000)
Na (0.707, 0.406, 0.181)
O (0.298, 0.125, 0.280)
Na (0.293, 0.594, 0.819)
O (0.075, 0.741, 0.108)
O (0.702, 0.875, 0.720)

---

Record 4
DFT (PBE-GGA) results for a relaxed NaBiO3 crystal.

Values from the calculation:
SG: P-6m2

abc: 2.975 6.122 6.121
angles: 59.97 90.00 90.00
Fractional positions:
Na (0.220, 0.433, 0.395)
O (0.720, 0.800, 0.212)
O (0.720, 0.249, 0.762)
Bi (0.220, 0.099, 0.062)
O (0.720, 0.250, 0.212)

---

Record 5
DFT (PBE-GGA) results for a relaxed Na3BiO4 crystal.

Values from the calculation:
SG: Cmmm

abc: 5.862 5.862 3.348
angles: 90.00 90.00 109.02
Fractional positions:
Na (0.500, 0.500, 0.500)
Bi (0.000, 0.000, 0.500)
Na (0.000, 0.500, 0.000)
Na (0.500, 0.000, 0.000)
O (0.217, 0.783, 0.500)
O (0.223, 0.223, 0.000)
O (0.777, 0.777, 0.000)
O (0.783, 0.217, 0.500)

---

Record 6
DFT (PBE-GGA) results for a relaxed Na3BiO3 crystal.

Values from the calculation:
SG: P-1
energy above the most stable polymorph in this dataset: 24 meV per atom

abc: 10.292 10.088 11.901
angles: 73.58 64.65 95.26
Fractional positions:
Bi (0.082, 0.163, 0.163)
Na (0.375, 0.308, 0.234)
Na (0.559, 0.396, 0.393)
Bi (0.663, 0.187, 0.210)
O (0.985, 0.647, 0.882)
Na (0.473, 0.353, 0.851)
Na (0.581, 0.157, 0.673)
Na (0.866, 0.310, 0.356)
Na (0.905, 0.695, 0.558)
Bi (0.245, 0.269, 0.696)
Bi (0.812, 0.291, 0.761)
Na (0.126, 0.482, 0.886)
Bi (0.918, 0.837, 0.837)
Na (0.747, 0.517, 0.930)
Na (0.095, 0.305, 0.442)
Na (0.625, 0.692, 0.766)
Bi (0.188, 0.709, 0.239)
Na (0.716, 0.470, 0.552)
Na (0.567, 0.914, 0.913)
Na (0.253, 0.483, 0.070)
Na (0.134, 0.690, 0.644)
Na (0.874, 0.518, 0.114)
O (0.015, 0.353, 0.118)
O (0.806, 0.534, 0.321)
O (0.563, 0.917, 0.715)
Na (0.433, 0.086, 0.087)
Na (0.845, 0.030, 0.580)
O (0.358, 0.833, 0.602)
O (0.286, 0.278, 0.504)
Na (0.155, 0.970, 0.420)
Na (0.284, 0.530, 0.448)
O (0.694, 0.736, 0.924)
O (0.466, 0.344, 0.649)
O (0.261, 0.518, 0.257)
Na (0.381, 0.075, 0.497)
O (0.642, 0.167, 0.398)
Na (0.419, 0.843, 0.327)
O (0.306, 0.264, 0.076)
O (0.194, 0.466, 0.679)
O (0.399, 0.842, 0.133)
Bi (0.755, 0.731, 0.304)
O (0.714, 0.722, 0.496)
O (0.437, 0.083, 0.285)
Na (0.527, 0.647, 0.149)
O (0.633, 0.395, 0.160)
Bi (0.337, 0.813, 0.790)
O (0.534, 0.656, 0.351)
O (0.739, 0.482, 0.743)
O (0.367, 0.605, 0.840)
Na (0.619, 0.925, 0.503)
O (0.842, 0.275, 0.578)
O (0.033, 0.139, 0.359)
Na (0.441, 0.604, 0.607)
O (0.601, 0.158, 0.867)
O (0.158, 0.725, 0.422)
O (0.967, 0.861, 0.641)

---

Record 7
DFT (PBE-GGA) results for a relaxed NaBiO4 crystal.

Values from the calculation:
SG: P4/mmm

abc: 3.633 3.633 6.074
angles: 90.00 90.00 90.00
Fractional positions:
O (0.000, 0.500, 0.279)
Bi (0.500, 0.500, 0.500)
O (0.000, 0.500, 0.721)
Na (0.000, 0.000, 0.000)
O (0.500, 0.000, 0.279)
O (0.500, 0.000, 0.721)

---

Record 8
DFT (PBE-GGA) results for a relaxed Na4Bi2O crystal.

Values from the calculation:
SG: I4/mmm

abc: 5.405 5.405 7.978
angles: 70.20 70.20 90.00
Fractional positions:
Bi (0.390, 0.390, 0.220)
Na (0.000, 0.500, 0.000)
O (0.000, 0.000, 0.000)
Bi (0.610, 0.610, 0.780)
Na (0.846, 0.846, 0.308)
Na (0.154, 0.154, 0.692)
Na (0.500, 0.000, 0.000)

---

Looking at energy relative to the elements, uncorrected for the records above, in order, we have -0.620; -0.792; -1.303; -0.954; -1.342; -1.398; -0.503; -0.359 eV/atom.
Looking at DFT total energy for the records above, in order, we have -3.180; -3.351; -4.524; -4.969; -4.801; -4.643; -4.675; -2.930 eV/atom.